Density functional theory data (GGA-PBE) for Mn5BeV2Si2 after structural relaxation.

Its uncorrected formation energy is -0.10 eV/atom.

It has space group P4/mbm (No. 127), with a = 8.794 Å, b = 8.794 Å, c = 2.985 Å, α = 90.00°, β = 90.00° and γ = 90.00°. The inequivalent atoms are Mn at (0.000, 0.500, 0.000), Mn at (0.038, 0.190, 0.000), Be at (0.000, 0.000, 0.500), V at (0.168, 0.668, 0.500) and Si at (0.136, 0.364, 0.500).

***

Density functional theory data (GGA-PBE) for Li3NpTi2S6 after structural relaxation.

Its uncorrected formation energy is -1.38 eV/atom.

It has space group C2/m (No. 12), with a = 6.327 Å, b = 10.965 Å, c = 6.485 Å, α = 90.00°, β = 109.09° and γ = 90.00°. The inequivalent atoms are Li at (0.000, 0.000, 0.000), Li at (0.000, 0.335, 0.000), Np at (0.000, 0.500, 0.500), Ti at (0.000, 0.167, 0.500), S at (0.227, 0.000, 0.742) and S at (0.242, 0.177, 0.259).

***

Density functional theory data (GGA-PBE) for RbVCoTc2 after structural relaxation.

The formation energy is 2.142 eV/atom. As for the excess energy over the best structure of this formula in the dataset: 537 meV/atom.

It has space group P4/mmm (No. 123), with a = 4.498 Å, b = 4.498 Å, c = 5.160 Å, α = 90.00°, β = 90.00° and γ = 90.00°. The inequivalent atoms are Rb at (0.000, 0.000, 0.000), V at (0.500, 0.500, 0.000), Co at (0.000, 0.000, 0.500) and Tc at (0.000, 0.500, 0.500).

***

Density functional theory data (GGA-PBE) for Ni2Te2Pb after structural relaxation.

Its uncorrected formation energy is -0.11 eV/atom. As for the excess energy over the best structure of this formula in the dataset: 0 meV/atom.

It has space group I4/mmm (No. 139), with a = 3.792 Å, b = 3.792 Å, c = 15.719 Å, α = 90.00°, β = 90.00° and γ = 90.00°. The inequivalent atoms are Ni at (0.000, 0.500, 0.250), Te at (0.000, 0.000, 0.142) and Pb at (0.000, 0.000, 0.500).

***

Density functional theory data (GGA-PBE) for SrMgGa2Ag after structural relaxation.

The formation energy is -0.350 eV/atom.

It has space group Imm2 (No. 44), with a = 4.362 Å, b = 4.474 Å, c = 11.828 Å, α = 90.00°, β = 90.00° and γ = 90.00°. The inequivalent atoms are Sr at (0.000, 0.000, 0.000), Mg at (0.000, 0.500, 0.745), Ga at (0.000, 0.000, 0.610), Ga at (0.000, 0.500, 0.245) and Ag at (0.000, 0.000, 0.386).

***

Density functional theory data (GGA-PBE) for CsNiSbS3 after structural relaxation.

Its uncorrected formation energy is -0.55 eV/atom.

It has space group P2_1/m (No. 11), with a = 9.594 Å, b = 3.979 Å, c = 9.646 Å, α = 90.00°, β = 106.66° and γ = 90.00°. The inequivalent atoms are Cs at (0.220, 0.250, 0.169), Ni at (0.417, 0.750, 0.925), Sb at (0.145, 0.250, 0.650), S at (0.125, 0.750, 0.428), S at (0.165, 0.750, 0.844) and S at (0.473, 0.250, 0.843).

***

Density functional theory data (GGA-PBE) for Ba2CuH6Au after structural relaxation.

It has space group Fmmm (No. 69), with a = 7.736 Å, b = 8.401 Å, c = 8.421 Å, α = 90.00°, β = 90.00° and γ = 90.00°. The inequivalent atoms are Ba at (0.250, 0.250, 0.250), Cu at (0.000, 0.000, 0.000), H at (0.000, 0.000, 0.204), H at (0.000, 0.203, 0.000), H at (0.225, 0.000, 0.500) and Au at (0.000, 0.000, 0.500).

***

Density functional theory data (GGA-PBE) for TiNb3Ga4 after structural relaxation.

The formation energy is -0.305 eV/atom.

It has space group Pmn2_1 (No. 31), with a = 8.657 Å, b = 5.523 Å, c = 5.525 Å, α = 90.00°, β = 90.00° and γ = 90.00°. The inequivalent atoms are Ti at (0.000, 0.020, 0.000), Nb at (0.000, 0.481, 0.459), Nb at (0.250, 0.251, 0.728), Ga at (0.000, 0.514, 0.964), Ga at (0.000, 0.985, 0.494) and Ga at (0.237, 0.753, 0.728).

***

Number 1: total energy -7.970 eV/atom. Number 2: total energy -6.316 eV/atom. Number 3: total energy -5.443 eV/atom. Number 4: total energy -4.418 eV/atom. Number 5: total energy -2.786 eV/atom. Number 6: total energy -4.408 eV/atom. Number 7: total energy -3.456 eV/atom. Number 8: total energy -6.582 eV/atom.